Run A
Compound: Ce2DyRu
Source: Alexandria via LeMat-Bulk
Functional: PBE
Structure: optimized geometry

a b c (Å): 3.831 3.831 9.115
angles (deg): 77.87 77.87 60.00
Each line ends with the local moment (μB).
Element x y z (fractional)
1 Ce 0.062 0.062 0.815  0.36
2 Dy 0.500 0.500 0.499  0.01
3 Ce 0.272 0.272 0.184  -0.28
4 Ru 0.666 0.666 0.002  0.00

M_tot = 0.12 μB/cell
Space group = No. 160


Run B
Compound: Ce2DyRu
Source: Alexandria via LeMat-Bulk
Functional: PBE
Structure: optimized geometry

a b c (Å): 6.055 9.627 14.111
angles (deg): 90.00 90.00 90.00
Element x y z (fractional)
1 Ce 0.749 0.942 0.537
2 Dy 0.239 0.750 0.602
3 Ru 0.775 0.750 0.173
4 Ce 0.560 0.563 0.288
5 Ce 0.440 0.437 0.712
6 Ce 0.560 0.937 0.288
7 Ce 0.060 0.063 0.212
8 Ru 0.275 0.250 0.327
9 Dy 0.739 0.250 0.898
10 Ce 0.440 0.063 0.712
11 Ru 0.225 0.250 0.827
12 Ru 0.976 0.750 0.925
13 Ce 0.251 0.442 0.463
14 Dy 0.955 0.250 0.645
15 Dy 0.455 0.750 0.855
16 Ce 0.749 0.558 0.537
17 Dy 0.545 0.250 0.145
18 Ce 0.940 0.937 0.788
19 Ce 0.751 0.942 0.037
20 Ru 0.476 0.250 0.575
21 Ru 0.024 0.250 0.075
22 Ru 0.725 0.750 0.673
23 Ce 0.249 0.442 0.963
24 Ce 0.249 0.058 0.963
25 Dy 0.261 0.750 0.102
26 Ce 0.060 0.437 0.212
27 Dy 0.761 0.250 0.398
28 Dy 0.045 0.750 0.355
29 Ce 0.751 0.558 0.037
30 Ru 0.524 0.750 0.425
31 Ce 0.940 0.563 0.788
32 Ce 0.251 0.058 0.463

M_tot = 0.06 μB/cell
Space group = No. 62


Run C
Compound: Ce2DyRu
Source: Alexandria via LeMat-Bulk
Functional: PBE
Structure: optimized geometry

a b c (Å): 3.658 3.658 7.539
angles (deg): 90.00 90.00 90.00
Element x y z (fractional)
1 Ce 0.000 0.000 0.192
2 Dy 0.500 0.500 0.500
3 Ru 0.500 0.500 0.000
4 Ce 0.000 0.000 0.808

M_tot = 0.00 μB/cell
Space group = No. 123


Run D
Compound: Ce2DyRu
Source: Alexandria via LeMat-Bulk
Functional: PBE
Structure: optimized geometry

a b c (Å): 4.780 4.780 5.636
angles (deg): 64.91 64.91 60.00
Element x y z (fractional)
1 Dy 0.500 0.500 0.500
2 Ce 0.737 0.737 0.789
3 Ru 0.000 0.000 0.000
4 Ce 0.263 0.263 0.211

M_tot = 0.01 μB/cell
Space group = No. 166


Energy ordering: run B at the bottom, the next structure 159 meV/atom above.


Run A
Compound: Ce2DyRu2
Source: Alexandria via LeMat-Bulk
Functional: PBE
Structure: optimized geometry

a b c (Å): 4.704 6.971 9.014
angles (deg): 84.68 64.27 63.30
Element x y z (fractional)
1 Ce 0.049 0.605 0.315
2 Ce 0.951 0.395 0.685
3 Ce 0.858 0.282 0.085
4 Ce 0.142 0.718 0.915
5 Dy 0.687 0.963 0.672
6 Ru 0.524 0.314 0.459
7 Ru 0.476 0.686 0.541
8 Ru 0.498 0.792 0.009
9 Ru 0.502 0.208 0.991
10 Dy 0.313 0.037 0.328

M_tot = 0.00 μB/cell
Space group = No. 2


Run B
Compound: Ce2DyRu2
Source: Alexandria via LeMat-Bulk
Functional: PBE
Structure: optimized geometry

a b c (Å): 6.456 7.843 10.088
angles (deg): 90.00 61.52 90.00
Element x y z (fractional)
1 Ce 0.541 0.803 0.418
2 Ru 0.714 0.023 0.102
3 Dy 0.500 0.621 0.750
4 Ru 0.287 0.023 0.398
5 Dy 0.500 0.379 0.250
6 Ru 0.286 0.977 0.898
7 Ce 0.041 0.697 0.418
8 Dy 0.000 0.121 0.250
9 Dy 0.000 0.879 0.750
10 Ce 0.959 0.696 0.082
11 Ru 0.713 0.977 0.602
12 Ru 0.214 0.477 0.102
13 Ce 0.041 0.304 0.918
14 Ce 0.459 0.804 0.082
15 Ru 0.786 0.523 0.898
16 Ru 0.213 0.523 0.602
17 Ru 0.787 0.477 0.398
18 Ce 0.541 0.196 0.918
19 Ce 0.459 0.197 0.582
20 Ce 0.959 0.303 0.582

M_tot = 0.00 μB/cell
Space group = No. 15


Energy ordering: run B at the bottom, the next structure 90 meV/atom above.


Run A
Compound: CeDy2Ru3
Source: Alexandria via LeMat-Bulk
Functional: PBE
Structure: optimized geometry

a b c (Å): 5.673 6.837 7.197
angles (deg): 104.06 113.21 90.00
Element x y z (fractional)
1 Ru 0.888 0.945 0.769
2 Ce 0.707 0.750 0.000
3 Dy 0.708 0.103 0.415
4 Ce 0.293 0.250 0.000
5 Ru 0.119 0.555 0.231
6 Dy 0.292 0.897 0.585
7 Dy 0.293 0.397 0.585
8 Ru 0.881 0.445 0.769
9 Ru 0.304 0.750 0.000
10 Dy 0.707 0.603 0.415
11 Ru 0.696 0.250 0.000
12 Ru 0.112 0.055 0.231

M_tot = 0.00 μB/cell
Space group = No. 15


Run B
Compound: CeDy2Ru3
Source: Alexandria via LeMat-Bulk
Functional: PBE
Structure: optimized geometry

a b c (Å): 4.847 7.611 6.845
angles (deg): 90.00 89.99 71.41
Element x y z (fractional)
1 Ru 0.170 0.660 0.763
2 Dy 0.334 0.331 0.500
3 Ru 0.500 0.000 0.759
4 Ce 0.665 0.670 0.000
5 Dy 0.000 0.000 0.500
6 Ru 0.830 0.340 0.763
7 Ru 0.170 0.660 0.237
8 Dy 0.666 0.669 0.500
9 Ru 0.830 0.340 0.237
10 Dy 0.000 0.000 0.000
11 Ru 0.500 0.000 0.241
12 Ce 0.335 0.330 0.000

M_tot = 0.00 μB/cell
Space group = No. 65


Energy ordering: run B at the bottom, the next structure 138 meV/atom above.